[1]
A plane-wave DFT calculation with meta-GGA SCAN was carried out for a crystal of ReNiW2 relaxed with PBEsol.

POSCAR file:
```
ReNiW2
1.0
2.600 0.000 0.000
0.000 3.997 0.000
0.000 0.000 5.538
Re Ni W
1 1 2
Cartesian
0.000 0.000 0.000
1.300 1.998 4.248
0.000 0.000 2.968
1.300 1.998 1.426
```

Values from the calculation:
Electronic total energy = -56.432 eV per atom
Calculated density = 17677 kg/m³
Space group = Pmm2 (25)
E above lowest polymorph = 163 meV per atom
ΔE_f = 22.19 kJ/mol of atoms

---

[2]
A plane-wave DFT calculation with meta-GGA SCAN was carried out for a crystal of FeBrCl2 relaxed with PBEsol.

POSCAR file:
```
FeBrCl2
1.0
2.985 0.000 0.000
0.000 2.985 0.000
0.000 0.000 9.593
Fe Br Cl
1 1 2
Cartesian
0.000 0.000 0.000
0.000 0.000 4.797
1.493 1.493 1.480
1.493 1.493 8.114
```

Values from the calculation:
Electronic total energy = -13.761 eV per atom
Calculated density = 4014 kg/m³
Space group = P4/mmm (123)
E above lowest polymorph = 459 meV per atom
E_form (uncorrected) = -36.2 kJ/mol of atoms

---

[3]
A plane-wave DFT calculation with meta-GGA SCAN was carried out for a crystal of MgAsBr relaxed with PBEsol.

POSCAR file:
```
MgAsBr
1.0
4.493 0.000 0.000
0.000 4.514 0.000
0.000 0.000 13.924
Mg As Br
4 4 4
Cartesian
0.000 0.000 0.000
0.000 2.257 6.962
2.246 0.000 6.962
2.246 2.257 0.000
0.000 0.000 8.909
0.000 2.257 1.947
2.246 0.000 1.947
2.246 2.257 8.909
0.000 0.000 5.369
0.000 2.257 12.331
2.246 0.000 12.331
2.246 2.257 5.369
```

Values from the calculation:
Electronic total energy = -15.298 eV per atom
Calculated density = 4214 kg/m³
Space group = Fmm2 (42)
E_form (uncorrected) = -40.8 kJ/mol of atoms

---

[4]
A plane-wave DFT calculation with meta-GGA SCAN was carried out for a crystal of Pr3Ga relaxed with PBEsol.

POSCAR file:
```
Pr3Ga
1.0
4.802 0.000 0.000
0.000 4.802 0.000
0.000 0.000 4.802
Pr Ga
3 1
Cartesian
0.000 0.000 2.401
0.000 2.401 0.000
2.401 0.000 0.000
2.401 2.401 2.401
```

Values from the calculation:
Electronic total energy = -36.879 eV per atom
Calculated density = 7387 kg/m³
Space group = Pm-3m (221)
ΔE_f = -28.73 kJ/mol of atoms

---

[5]
A plane-wave DFT calculation with meta-GGA SCAN was carried out for a crystal of Li2TlPt relaxed with PBEsol.

POSCAR file:
```
Li2TlPt
1.0
4.047 0.000 0.000
0.000 4.047 0.000
0.000 0.000 7.758
Li Tl Pt
4 2 2
Cartesian
0.000 0.000 0.000
0.000 2.023 1.940
2.023 0.000 5.819
2.023 2.023 3.879
0.000 0.000 3.879
2.023 2.023 0.000
0.000 2.023 5.819
2.023 0.000 1.940
```

Values from the calculation:
Electronic total energy = -37.329 eV per atom
Calculated density = 10804 kg/m³
Space group = I-4m2 (119)
ΔE_f = -47.88 kJ/mol of atoms

---

[6]
A plane-wave DFT calculation with meta-GGA SCAN was carried out for a crystal of TiBe2W2 relaxed with PBEsol.

POSCAR file:
```
TiBe2W2
1.0
6.198 0.000 0.000
0.000 6.198 0.000
0.000 0.000 3.202
Ti Be W
2 4 4
Cartesian
0.000 0.000 0.000
3.099 3.099 0.000
0.719 2.380 0.000
2.380 5.479 0.000
3.818 0.719 0.000
5.479 3.818 0.000
1.099 4.198 1.601
2.000 1.099 1.601
4.198 5.100 1.601
5.100 2.000 1.601
```

Values from the calculation:
Electronic total energy = -32.957 eV per atom
Calculated density = 11706 kg/m³
Space group = P4/mbm (127)
ΔE_f = -13.01 kJ/mol of atoms

---

[7]
A plane-wave DFT calculation with meta-GGA SCAN was carried out for a crystal of Cs2LiScCl6 relaxed with PBEsol.

POSCAR file:
```
Cs2LiScCl6
1.0
3.610 2.084 11.864
-3.610 2.084 11.864
0.000 -4.168 11.864
Cs Li Sc Cl
4 2 2 12
Cartesian
0.000 0.000 4.491
0.000 0.000 10.300
0.000 0.000 25.290
0.000 0.000 31.100
0.000 0.000 14.643
0.000 0.000 20.948
0.000 0.000 0.000
0.000 0.000 17.795
-1.712 -0.988 16.312
0.000 -2.140 13.287
-1.853 1.070 13.287
-1.853 -1.070 22.304
0.000 -1.977 19.278
-1.712 0.988 19.278
1.712 -0.988 16.312
0.000 1.977 16.312
1.853 1.070 13.287
1.853 -1.070 22.304
0.000 2.140 22.304
1.712 0.988 19.278
```

Values from the calculation:
Electronic total energy = -16.342 eV per atom
Calculated density = 3289 kg/m³
Space group = R-3m (166)
E_form (uncorrected) = -224.8 kJ/mol of atoms

---

[8]
A plane-wave DFT calculation with meta-GGA SCAN was carried out for a crystal of Tc2MoAs relaxed with PBEsol.

POSCAR file:
```
Tc2MoAs
1.0
2.812 0.000 0.000
-1.406 2.436 0.000
0.000 0.000 25.526
Tc Mo As
6 3 3
Cartesian
0.000 0.000 0.000
0.000 0.000 6.419
0.000 1.624 17.017
0.000 1.624 23.436
1.406 0.812 8.509
1.406 0.812 14.927
0.000 0.000 19.222
0.000 1.624 10.713
1.406 0.812 2.205
0.000 0.000 12.860
0.000 1.624 4.351
1.406 0.812 21.369
```

Values from the calculation:
Electronic total energy = -31.162 eV per atom
Calculated density = 10452 kg/m³
Space group = R3m (160)
ΔE_f = 13.23 kJ/mol of atoms

---

[9]
A plane-wave DFT calculation with meta-GGA SCAN was carried out for a crystal of Al2CuAgAs relaxed with PBEsol.

POSCAR file:
```
Al2CuAgAs
1.0
4.919 0.000 0.000
0.000 4.919 0.000
0.000 0.000 4.350
Al Cu Ag As
2 1 1 1
Cartesian
0.000 2.460 0.000
2.460 0.000 0.000
0.000 0.000 2.175
2.460 2.460 2.175
0.000 0.000 0.000
```

Values from the calculation:
Electronic total energy = -15.826 eV per atom
Calculated density = 4737 kg/m³
Space group = P4/mmm (123)
ΔE_f = 60.45 kJ/mol of atoms

---

[10]
A plane-wave DFT calculation with meta-GGA SCAN was carried out for a crystal of MnNiMo3 relaxed with PBEsol.

POSCAR file:
```
MnNiMo3
1.0
4.332 0.000 0.000
0.000 4.332 0.000
0.000 0.000 4.332
Mn Ni Mo
1 1 3
Cartesian
0.000 0.000 0.000
2.166 2.166 2.166
0.000 0.000 2.166
0.000 2.166 0.000
2.166 0.000 0.000
```

Values from the calculation:
Electronic total energy = -26.465 eV per atom
Calculated density = 8200 kg/m³
Space group = Pm-3m (221)
ΔE_f = 130.48 kJ/mol of atoms

---

[11]
A plane-wave DFT calculation with meta-GGA SCAN was carried out for a crystal of BaHgIr2 relaxed with PBEsol.

POSCAR file:
```
BaHgIr2
1.0
5.132 0.000 0.000
0.000 3.077 0.000
-1.835 0.000 5.029
Ba Hg Ir
1 1 2
Cartesian
0.000 0.000 0.000
-0.918 1.539 2.514
1.648 0.000 2.514
2.566 1.539 0.000
```

Values from the calculation:
Electronic total energy = -61.698 eV per atom
Calculated density = 15105 kg/m³
Space group = P2/m (10)
ΔE_f = 75.33 kJ/mol of atoms

---

[12]
A plane-wave DFT calculation with meta-GGA SCAN was carried out for a crystal of SrZr3Br relaxed with PBEsol.

POSCAR file:
```
SrZr3Br
1.0
5.100 0.000 0.000
0.000 5.100 0.000
0.000 0.000 5.100
Sr Zr Br
1 3 1
Cartesian
0.000 0.000 0.000
0.000 2.550 2.550
2.550 0.000 2.550
2.550 2.550 0.000
2.550 2.550 2.550
```

Values from the calculation:
Electronic total energy = -26.462 eV per atom
Calculated density = 5522 kg/m³
Space group = Pm-3m (221)
E_form (uncorrected) = 29.3 kJ/mol of atoms

---

[13]
A plane-wave DFT calculation with meta-GGA SCAN was carried out for a crystal of Y2NiW relaxed with PBEsol.

POSCAR file:
```
Y2NiW
1.0
6.792 0.000 0.000
0.000 6.792 0.000
0.000 0.000 6.792
Y Ni W
8 4 4
Cartesian
1.698 1.698 1.698
1.698 1.698 5.094
1.698 5.094 1.698
1.698 5.094 5.094
5.094 1.698 1.698
5.094 1.698 5.094
5.094 5.094 1.698
5.094 5.094 5.094
0.000 0.000 0.000
0.000 3.396 3.396
3.396 0.000 3.396
3.396 3.396 0.000
0.000 0.000 3.396
0.000 3.396 0.000
3.396 0.000 0.000
3.396 3.396 3.396
```

Values from the calculation:
Electronic total energy = -34.932 eV per atom
Calculated density = 8910 kg/m³
Space group = Fm-3m (225)
E above lowest polymorph = 0 meV per atom
ΔE_f = 43.91 kJ/mol of atoms

---

no.,total moment (μB per cell)
1,0.0
2,4.1
3,0.0
4,0.1
5,0.0
6,0.0
7,0.0
8,0.0
9,0.0
10,0.0
11,0.0
12,0.9
13,0.0